## 1
A relaxed NdHo2Tl crystal, computed with PBE.

a b c (Å): 4.8418 4.7312 11.1882
angles (deg): 102.27 90.00 90.00
Last column: nearest neighbours and their distance in Å.
Sites, in units of the cell vectors:
1 Tl 0.2500 0.1629 0.3238  5 Nd 3.18-3.45, 4 Ho 3.23-3.30
2 Ho 0.2500 0.9362 0.8725  2 Tl 3.23, 6 Ho 3.39-3.54
3 Ho 0.7500 0.0638 0.1275  2 Tl 3.23, 6 Ho 3.39-3.54
4 Ho 0.7500 0.4435 0.8868  2 Tl 3.30, 8 Ho 3.39-3.54
5 Ho 0.2500 0.5565 0.1132  2 Tl 3.30, 8 Ho 3.39-3.54
6 Nd 0.7500 0.6930 0.3852  5 Tl 3.18-3.45
7 Tl 0.7500 0.8371 0.6762  5 Nd 3.18-3.45, 4 Ho 3.23-3.30
8 Nd 0.2500 0.3070 0.6148  5 Tl 3.18-3.45

Properties
The space group is P2_1/m (11).

---

## 2
A relaxed NdHo2Tl crystal, computed with PBE.

a b c (Å): 4.8412 4.9143 4.9143
angles (deg): 90.00 90.00 90.00
Last column: nearest neighbours and their distance in Å.
Sites, in units of the cell vectors:
1 Ho 0.0000 0.5000 0.0000  4 Tl 3.45, 4 Nd 3.45, 4 Ho 3.47
2 Nd 0.5000 0.5000 0.5000  8 Ho 3.45, 4 Tl 3.47
3 Tl 0.5000 0.0000 0.0000  8 Ho 3.45, 4 Nd 3.47
4 Ho 0.0000 0.0000 0.5000  4 Tl 3.45, 4 Nd 3.45, 4 Ho 3.47

Properties
The space group is P4/mmm (123).

---

Stability order, top to bottom: 2, 1

---

## 1
A relaxed NdHo2Tl crystal, computed with PBE.

a b c (Å): 3.5871 3.5871 11.2197
angles (deg): 80.80 80.80 60.00
Last column: nearest neighbours and their distance in Å.
Sites, in units of the cell vectors:
1 Ho 0.7452 0.7452 0.7644  3 Tl 3.32, 3 Nd 3.58, 6 Ho 3.59
2 Tl 0.0000 0.0000 0.0000  6 Ho 3.32, 6 Tl 3.59
3 Nd 0.5000 0.5000 0.5000  6 Ho 3.58, 6 Nd 3.59
4 Ho 0.2548 0.2548 0.2356  3 Tl 3.32, 3 Nd 3.58, 6 Ho 3.59

Properties
The space group is R-3m (166).

---

## 2
A relaxed NdHo2Tl crystal, computed with PBE.

a b c (Å): 3.6562 3.6562 10.9909
angles (deg): 80.43 80.43 60.00
Last column: nearest neighbours and their distance in Å.
Sites, in units of the cell vectors:
1 Nd 0.4999 0.4999 0.5003  6 Ho 3.60-3.61, 6 Nd 3.66
2 Ho 0.2572 0.2572 0.2285  3 Tl 3.24, 3 Nd 3.61
3 Ho 0.0763 0.0763 0.7710  3 Tl 3.25, 3 Nd 3.60
4 Tl 0.6666 0.6666 0.0002  6 Ho 3.24-3.25

Properties
The space group is R3m (160).

---

Stability order, top to bottom: 1, 2

---

## 1
A relaxed NdHo2Tl4 crystal, computed with PBE.

a b c (Å): 6.5381 6.5381 6.5381
angles (deg): 112.34 108.06 108.06
Last column: nearest neighbours and their distance in Å.
Sites, in units of the cell vectors:
1 Tl 0.5000 0.5000 0.5000  4 Ho 3.27, 2 Nd 3.27, 2 Tl 3.64
2 Ho 0.5000 0.5000 0.0000  8 Tl 3.27, 2 Ho 3.64
3 Nd 0.0000 0.0000 0.0000  8 Tl 3.27
4 Tl 0.5000 0.0000 0.0000  4 Ho 3.27, 2 Nd 3.27, 2 Tl 3.64
5 Tl 0.0000 0.0000 0.5000  2 Nd 3.27, 4 Ho 3.27, 2 Tl 3.64
6 Tl 0.0000 0.5000 0.0000  4 Ho 3.27, 2 Nd 3.27, 2 Tl 3.64
7 Ho 0.5000 0.0000 0.5000  8 Tl 3.27, 2 Ho 3.64

Properties
The space group is I4/mmm (139).

---

## 2
A relaxed NdHo2Tl4 crystal, computed with PBE.

a b c (Å): 4.9031 4.9031 10.5699
angles (deg): 76.59 76.59 60.00
Last column: nearest neighbours and their distance in Å.
Sites, in units of the cell vectors:
1 Ho 0.8700 0.8700 0.3901  4 Tl 3.06-3.40
2 Nd 0.0000 0.0000 0.0000  6 Tl 3.25
3 Tl 0.2413 0.2413 0.2760  4 Ho 3.06-3.40, 3 Tl 3.08
4 Ho 0.1300 0.1300 0.6099  4 Tl 3.06-3.40
5 Tl 0.3853 0.3853 0.8441  3 Tl 3.08, 3 Nd 3.25
6 Tl 0.6147 0.6147 0.1559  3 Tl 3.08, 3 Nd 3.25
7 Tl 0.7587 0.7587 0.7240  4 Ho 3.06-3.40, 3 Tl 3.08

Properties
The space group is R-3m (166).

---

Stability order, top to bottom: 1, 2

---

## 1
A relaxed Nd3HoTl4 crystal, computed with PBE.

a b c (Å): 3.8472 3.8472 15.7145
angles (deg): 90.00 90.00 90.00
Last column: nearest neighbours and their distance in Å.
Sites, in units of the cell vectors:
1 Nd 0.5000 0.5000 0.2440  8 Tl 3.38-3.39
2 Tl 0.0000 0.0000 0.1152  4 Ho 3.27, 4 Nd 3.39, 1 Tl 3.62
3 Nd 0.5000 0.5000 0.7560  8 Tl 3.38-3.39
4 Tl 0.0000 0.0000 0.6283  8 Nd 3.38-3.39
5 Nd 0.5000 0.5000 0.5000  8 Tl 3.39
6 Ho 0.5000 0.5000 0.0000  8 Tl 3.27
7 Tl 0.0000 0.0000 0.8848  4 Ho 3.27, 4 Nd 3.39, 1 Tl 3.62
8 Tl 0.0000 0.0000 0.3717  8 Nd 3.38-3.39

Properties
The space group is P4/mmm (123).

---

## 2
A relaxed Nd3HoTl4 crystal, computed with PBE.

a b c (Å): 3.7293 7.3411 10.1271
angles (deg): 111.25 100.61 90.00
Last column: nearest neighbours and their distance in Å.
Sites, in units of the cell vectors:
1 Nd 0.2164 0.2167 0.4329  6 Tl 3.27-3.32
2 Nd 0.7836 0.7833 0.5671  6 Tl 3.27-3.32
3 Nd 0.0000 0.5000 0.0000  8 Tl 3.37, 2 Nd 3.73
4 Tl 0.6256 0.4110 0.2512  1 Ho 3.13, 1 Tl 3.15, 5 Nd 3.27-3.37
5 Tl 0.3743 0.1593 0.7486  1 Ho 3.13, 1 Tl 3.15, 5 Nd 3.27-3.37
6 Ho 0.5000 0.0000 0.0000  4 Tl 3.13
7 Tl 0.3744 0.5890 0.7488  1 Ho 3.13, 1 Tl 3.15, 5 Nd 3.27-3.37
8 Tl 0.6257 0.8407 0.2514  1 Ho 3.13, 1 Tl 3.15, 5 Nd 3.27-3.37

Properties
The space group is Immm (71).

---

Stability order, top to bottom: 1, 2

---

## 1
A relaxed Nd4Ho5Tl crystal, computed with PBE.

a b c (Å): 5.8302 8.1499 8.1499
angles (deg): 82.65 69.04 69.04
Last column: nearest neighbours and their distance in Å.
Sites, in units of the cell vectors:
1 Ho 0.7710 0.9999 0.3685  1 Tl 3.09, 1 Ho 3.29, 2 Nd 3.40
2 Nd 0.1497 0.3129 0.3128  5 Ho 3.40-3.76, 1 Tl 3.75
3 Nd 0.7754 0.6871 0.6872  5 Ho 3.40-3.76, 1 Tl 3.75
4 Nd 0.4626 0.3128 0.6871  5 Ho 3.40-3.76, 1 Tl 3.75
5 Ho 0.7709 0.3685 0.0001  1 Tl 3.09, 1 Ho 3.29, 2 Nd 3.40
6 Ho 0.6610 0.0000 0.0000  2 Tl 2.81-3.02
7 Ho 0.1394 0.0001 0.6315  1 Tl 3.09, 1 Ho 3.29, 2 Nd 3.40
8 Ho 0.1395 0.6315 0.9999  1 Tl 3.09, 1 Ho 3.29, 2 Nd 3.40
9 Nd 0.4625 0.6872 0.3129  5 Ho 3.40-3.76, 1 Tl 3.75
10 Tl 0.1784 0.0000 0.0000  6 Ho 2.81-3.09

Properties
The space group is I4mm (107).

---

## 2
A relaxed Nd4Ho5Tl crystal, computed with PBE.

a b c (Å): 4.1496 4.1496 18.4260
angles (deg): 90.00 90.00 90.00
Last column: nearest neighbours and their distance in Å.
Sites, in units of the cell vectors:
1 Ho 0.5000 0.5000 0.2925  8 Nd 3.43-3.51, 2 Ho 3.77-3.82
2 Ho 0.5000 0.5000 0.9123  1 Ho 3.23, 4 Tl 3.35, 4 Nd 3.55
3 Ho 0.5000 0.5000 0.0877  1 Ho 3.23, 4 Tl 3.35, 4 Nd 3.55
4 Ho 0.5000 0.5000 0.5000  8 Nd 3.49, 2 Ho 3.82
5 Nd 0.0000 0.0000 0.1959  8 Ho 3.43-3.55, 1 Tl 3.61, 1 Nd 3.71
6 Ho 0.5000 0.5000 0.7075  8 Nd 3.43-3.51, 2 Ho 3.77-3.82
7 Nd 0.0000 0.0000 0.6028  8 Ho 3.49-3.51, 2 Nd 3.71-3.79
8 Tl 0.0000 0.0000 0.0000  8 Ho 3.35, 2 Nd 3.61
9 Nd 0.0000 0.0000 0.3972  8 Ho 3.49-3.51, 2 Nd 3.71-3.79
10 Nd 0.0000 0.0000 0.8041  8 Ho 3.43-3.55, 1 Tl 3.61, 1 Nd 3.71

Properties
The space group is P4/mmm (123).

---

Stability order, top to bottom: 2, 1

---

## 1
A relaxed NdHo4Tl2 crystal, computed with PBE.

a b c (Å): 4.9521 9.3977 9.3977
angles (deg): 90.00 90.00 90.00
Last column: nearest neighbours and their distance in Å.
Sites, in units of the cell vectors:
1 Ho 0.5000 0.6073 0.1440  3 Tl 3.18, 6 Ho 3.31-3.44
2 Ho 0.5000 0.8560 0.3927  3 Tl 3.18, 6 Ho 3.31-3.44
3 Tl 0.0000 0.8160 0.1840  6 Ho 3.18, 2 Nd 3.48
4 Tl 0.5000 0.6840 0.6840  6 Ho 3.18, 2 Nd 3.48
5 Ho 0.5000 0.3927 0.8560  3 Tl 3.18, 6 Ho 3.31-3.44
6 Nd 0.5000 0.0000 0.0000  4 Tl 3.48
7 Ho 0.5000 0.1440 0.6073  3 Tl 3.18, 6 Ho 3.31-3.44
8 Ho 0.0000 0.6440 0.8927  3 Tl 3.18, 6 Ho 3.31-3.44
9 Ho 0.0000 0.8927 0.6440  3 Tl 3.18, 6 Ho 3.31-3.44
10 Tl 0.0000 0.1840 0.8160  6 Ho 3.18, 2 Nd 3.48
11 Ho 0.0000 0.1073 0.3560  3 Tl 3.18, 6 Ho 3.31-3.44
12 Nd 0.0000 0.5000 0.5000  4 Tl 3.48
13 Ho 0.0000 0.3560 0.1073  3 Tl 3.18, 6 Ho 3.31-3.44
14 Tl 0.5000 0.3160 0.3160  6 Ho 3.18, 2 Nd 3.48

Properties
The space group is P4_2/mnm (136).

---

## 2
A relaxed NdHo4Tl2 crystal, computed with PBE.

a b c (Å): 5.3971 8.7321 11.3277
angles (deg): 112.91 76.22 72.00
Last column: nearest neighbours and their distance in Å.
Sites, in units of the cell vectors:
1 Nd 0.9754 0.1233 0.9260  1 Nd 3.19, 2 Tl 3.36, 2 Ho 3.42-3.45
2 Nd 0.0246 0.8767 0.0740  1 Nd 3.19, 2 Tl 3.36, 2 Ho 3.42-3.45
3 Tl 0.3125 0.2392 0.1358  5 Ho 3.20-3.41, 2 Nd 3.36, 1 Tl 3.58
4 Ho 0.3486 0.6171 0.6856  4 Tl 3.11-3.20
5 Tl 0.6875 0.7608 0.8642  5 Ho 3.20-3.41, 2 Nd 3.36, 1 Tl 3.58
6 Ho 0.3394 0.4026 0.9186  5 Ho 3.19-3.46, 1 Tl 3.29, 1 Nd 3.42
7 Ho 0.6514 0.3829 0.3144  4 Tl 3.11-3.20
8 Ho 0.3118 0.0475 0.3288  4 Tl 3.16-3.30, 2 Ho 3.34-3.47
9 Ho 0.9900 0.7133 0.3066  4 Tl 3.27-3.41, 1 Nd 3.45, 3 Ho 3.46-3.47
10 Ho 0.6882 0.9525 0.6712  4 Tl 3.16-3.30, 2 Ho 3.34-3.47
11 Ho 0.0100 0.2867 0.6934  4 Tl 3.27-3.41, 1 Nd 3.45, 3 Ho 3.46-3.47
12 Tl 0.3430 0.8146 0.4994  8 Ho 3.11-3.40
13 Tl 0.6570 0.1854 0.5006  8 Ho 3.11-3.40
14 Ho 0.6606 0.5974 0.0814  5 Ho 3.19-3.46, 1 Tl 3.29, 1 Nd 3.42

Properties
The space group is C2/m (12).

---

Stability order, top to bottom: 1, 2

---

## 1
A relaxed Nd3Ho2Tl4 crystal, computed with PBE.

a b c (Å): 7.3632 9.9976 8.5892
angles (deg): 90.00 115.38 90.00
Last column: nearest neighbours and their distance in Å.
Sites, in units of the cell vectors:
1 Ho 0.3956 0.0499 0.7911  3 Tl 3.14-3.20, 1 Ho 3.39
2 Ho 0.8956 0.4501 0.7911  3 Tl 3.14-3.20, 1 Ho 3.39
3 Nd 0.5330 0.7500 0.5659  5 Tl 3.21-3.30
4 Ho 0.1044 0.5499 0.2089  3 Tl 3.14-3.20, 1 Ho 3.39
5 Nd 0.0000 0.0000 0.0000  6 Tl 3.09-3.10
6 Nd 0.5000 0.5000 0.0000  6 Tl 3.09-3.10
7 Tl 0.7546 0.2500 0.0093  3 Nd 3.10-3.30, 2 Ho 3.20
8 Nd 0.4670 0.2500 0.4341  5 Tl 3.21-3.30
9 Tl 0.7454 0.7500 0.9907  3 Nd 3.10-3.30, 2 Ho 3.20
10 Tl 0.8014 0.0215 0.6028  5 Nd 3.09-3.29, 1 Ho 3.14
11 Ho 0.6044 0.9501 0.2089  3 Tl 3.14-3.20, 1 Ho 3.39
12 Tl 0.3014 0.4785 0.6028  5 Nd 3.09-3.29, 1 Ho 3.14
13 Tl 0.2454 0.7500 0.9907  3 Nd 3.10-3.30, 2 Ho 3.20
14 Tl 0.6986 0.5215 0.3972  5 Nd 3.09-3.29, 1 Ho 3.14
15 Tl 0.1986 0.9785 0.3972  5 Nd 3.09-3.29, 1 Ho 3.14
16 Tl 0.2546 0.2500 0.0093  3 Nd 3.10-3.30, 2 Ho 3.20
17 Nd 0.0330 0.7500 0.5659  5 Tl 3.21-3.30
18 Nd 0.9670 0.2500 0.4341  5 Tl 3.21-3.30

Properties
The space group is Cmce (64).

---

## 2
A relaxed Nd3Ho2Tl4 crystal, computed with PBE.

a b c (Å): 5.3896 5.3902 10.5236
angles (deg): 89.99 90.00 60.00
Last column: nearest neighbours and their distance in Å.
Sites, in units of the cell vectors:
1 Nd 0.0000 0.0000 0.0000  8 Tl 3.29-3.60
2 Nd 0.6667 0.6665 0.5794  4 Tl 3.22-3.36, 3 Nd 3.53
3 Ho 0.3334 0.3332 0.7789  7 Tl 3.36-3.40, 3 Nd 3.75
4 Tl 0.6667 0.6665 0.8984  4 Nd 3.29-3.36, 4 Ho 3.36-3.40
5 Tl 0.0001 0.9997 0.6577  4 Nd 3.22-3.60, 1 Tl 3.32, 3 Ho 3.36
6 Nd 0.3333 0.3335 0.4206  4 Tl 3.22-3.36, 3 Nd 3.53
7 Tl 0.3333 0.3335 0.1016  4 Nd 3.29-3.36, 4 Ho 3.36-3.40
8 Ho 0.6666 0.6668 0.2211  7 Tl 3.36-3.40, 3 Nd 3.75
9 Tl 0.9999 0.0003 0.3423  4 Nd 3.22-3.60, 1 Tl 3.32, 3 Ho 3.36

Properties
The space group is P-3m1 (164).

---

Stability order, top to bottom: 2, 1

---

## 1
A relaxed NdHo6Tl crystal, computed with PBE.

a b c (Å): 6.6536 6.6536 9.2708
angles (deg): 110.13 110.13 121.47
Last column: nearest neighbours and their distance in Å.
Sites, in units of the cell vectors:
1 Nd 0.5000 0.5000 0.5000  2 Tl 3.29, 6 Ho 3.29-3.33
2 Ho 0.8017 0.8017 0.2465  6 Ho 3.32-3.45, 1 Tl 3.32, 1 Nd 3.33
3 Tl 0.0000 0.0000 0.0000  6 Ho 3.27-3.32, 2 Nd 3.29
4 Ho 0.7761 0.3393 0.7535  1 Tl 3.27, 1 Nd 3.29, 6 Ho 3.33-3.49
5 Ho 0.6607 0.2239 0.2465  1 Tl 3.27, 1 Nd 3.29, 6 Ho 3.33-3.49
6 Ho 0.1983 0.1983 0.7535  6 Ho 3.32-3.45, 1 Tl 3.32, 1 Nd 3.33
7 Ho 0.3393 0.7761 0.7535  1 Tl 3.27, 1 Nd 3.29, 6 Ho 3.33-3.49
8 Ho 0.2239 0.6607 0.2465  1 Tl 3.27, 1 Nd 3.29, 6 Ho 3.33-3.49

Properties
The space group is C2/m (12).

---

## 2
A relaxed NdHo6Tl crystal, computed with PBE.

a b c (Å): 5.3174 6.8605 6.8605
angles (deg): 102.74 90.00 90.00
Last column: nearest neighbours and their distance in Å.
Sites, in units of the cell vectors:
1 Ho 0.5000 0.0000 0.5000  2 Nd 3.43, 2 Tl 3.43, 8 Ho 3.43-3.79
2 Ho 0.0000 0.2147 0.2147  2 Tl 3.23, 4 Ho 3.37-3.56, 2 Nd 3.61
3 Nd 0.5000 0.5000 0.5000  12 Ho 3.43-3.61
4 Ho 0.0000 0.7159 0.2841  8 Ho 3.37-3.56, 2 Nd 3.53
5 Tl 0.5000 0.0000 0.0000  8 Ho 3.23-3.43
6 Ho 0.0000 0.7853 0.7853  2 Tl 3.23, 4 Ho 3.37-3.56, 2 Nd 3.61
7 Ho 0.0000 0.2841 0.7159  8 Ho 3.37-3.56, 2 Nd 3.53
8 Ho 0.5000 0.5000 0.0000  2 Tl 3.43, 2 Nd 3.43, 8 Ho 3.43-3.79

Properties
The space group is Cmmm (65).

---

Stability order, top to bottom: 2, 1